Material: Fe2SbPdPb
Method: DFT, PBE-GGA
State: optimized geometry Values from VASP.

Properties
**Space group**: P4/mmm
**Total energy**: -25.799 eV/cell
**ΔE_f (raw)**: 80.08 kJ per mole of atoms

Structure (Quantum ESPRESSO input):
```
&SYSTEM
  ibrav = 0, nat = 5, ntyp = 4
/
ATOMIC_SPECIES
Fe 55.84 Fe.upf
Sb 121.76 Sb.upf
Pd 106.42 Pd.upf
Pb 207.20 Pb.upf
CELL_PARAMETERS angstrom
4.844 0.000 0.000
0.000 4.844 0.000
0.000 0.000 5.088
ATOMIC_POSITIONS crystal
Fe 0.000 0.500 0.000
Fe 0.500 0.000 0.000
Sb 0.000 0.000 0.500
Pd 0.500 0.500 0.000
Pb 0.500 0.500 0.500
```

***

Material: FeSi2PdPb
Method: DFT, PBE-GGA
State: optimized geometry Values from VASP.

Properties
**Space group**: P4/mmm
**Total energy**: -25.349 eV/cell
**ΔE_f (raw)**: 55.21 kJ per mole of atoms

Structure (Quantum ESPRESSO input):
```
&SYSTEM
  ibrav = 0, nat = 5, ntyp = 4
/
ATOMIC_SPECIES
Fe 55.84 Fe.upf
Si 28.09 Si.upf
Pd 106.42 Pd.upf
Pb 207.20 Pb.upf
CELL_PARAMETERS angstrom
4.622 0.000 0.000
0.000 4.622 0.000
0.000 0.000 4.987
ATOMIC_POSITIONS crystal
Fe 0.000 0.000 0.000
Si 0.000 0.500 0.500
Si 0.500 0.000 0.500
Pd 0.000 0.000 0.500
Pb 0.500 0.500 0.000
```

***

Material: ZrFe2PdPb
Method: DFT, PBE-GGA
State: optimized geometry Values from VASP.

Properties
**Space group**: P4/mmm
**Total energy**: -30.957 eV/cell
**Calculated formation energy**: 0.684 eV/atom

Structure (Quantum ESPRESSO input):
```
&SYSTEM
  ibrav = 0, nat = 5, ntyp = 4
/
ATOMIC_SPECIES
Zr 91.22 Zr.upf
Fe 55.84 Fe.upf
Pd 106.42 Pd.upf
Pb 207.20 Pb.upf
CELL_PARAMETERS angstrom
4.715 0.000 0.000
0.000 4.715 0.000
0.000 0.000 5.019
ATOMIC_POSITIONS crystal
Zr 0.000 0.000 0.000
Fe 0.000 0.500 0.500
Fe 0.500 0.000 0.500
Pd 0.000 0.000 0.500
Pb 0.500 0.500 0.000
```

***

Material: Pm12FePb6
Method: DFT, PBE-GGA
State: optimized geometry Values from VASP.

Properties
**Space group**: R-3
**Total energy**: -93.024 eV/cell
**Calculated formation energy**: -0.279 eV/atom

Structure (Quantum ESPRESSO input):
```
&SYSTEM
  ibrav = 0, nat = 19, ntyp = 3
/
ATOMIC_SPECIES
Pm 145.00 Pm.upf
Fe 55.84 Fe.upf
Pb 207.20 Pb.upf
CELL_PARAMETERS angstrom
6.184 3.570 4.789
-6.184 3.570 4.789
0.000 -7.141 4.789
ATOMIC_POSITIONS crystal
Pm 0.041 0.922 0.699
Pm 0.078 0.301 0.959
Pm 0.200 0.419 0.551
Pm 0.301 0.959 0.078
Pm 0.419 0.551 0.200
Pm 0.449 0.800 0.581
Pm 0.551 0.200 0.419
Pm 0.581 0.449 0.800
Pm 0.699 0.041 0.922
Pm 0.800 0.581 0.449
Pm 0.922 0.699 0.041
Pm 0.959 0.078 0.301
Fe 0.000 0.000 0.000
Pb 0.135 0.740 0.364
Pb 0.260 0.636 0.865
Pb 0.364 0.135 0.740
Pb 0.636 0.865 0.260
Pb 0.740 0.364 0.135
Pb 0.865 0.260 0.636
```

***

Material: Pm2FePb
Method: DFT, PBE-GGA
State: optimized geometry Values from VASP.

Properties
**Space group**: R-3m
**Total energy**: -20.741 eV/cell
**Calculated formation energy**: 0.233 eV/atom

Structure (Quantum ESPRESSO input):
```
&SYSTEM
  ibrav = 0, nat = 4, ntyp = 3
/
ATOMIC_SPECIES
Pm 145.00 Pm.upf
Fe 55.84 Fe.upf
Pb 207.20 Pb.upf
CELL_PARAMETERS angstrom
1.817 1.049 10.256
-1.817 1.049 10.256
0.000 -2.098 10.256
ATOMIC_POSITIONS crystal
Pm 0.107 0.107 0.107
Pm 0.893 0.893 0.893
Fe 0.500 0.500 0.500
Pb 0.000 0.000 0.000
```

***

Material: Pm8FePb2
Method: DFT, PBE-GGA
State: optimized geometry Values from VASP.

Properties
**Space group**: C2/m
**Total energy**: -55.612 eV/cell
**Calculated formation energy**: -0.157 eV/atom

Structure (Quantum ESPRESSO input):
```
&SYSTEM
  ibrav = 0, nat = 11, ntyp = 3
/
ATOMIC_SPECIES
Pm 145.00 Pm.upf
Fe 55.84 Fe.upf
Pb 207.20 Pb.upf
CELL_PARAMETERS angstrom
9.192 -2.750 0.000
9.192 2.750 0.000
-2.242 0.000 6.506
ATOMIC_POSITIONS crystal
Pm 0.005 0.005 0.233
Pm 0.211 0.211 0.130
Pm 0.361 0.361 0.676
Pm 0.412 0.412 0.238
Pm 0.588 0.588 0.762
Pm 0.639 0.639 0.324
Pm 0.789 0.789 0.870
Pm 0.995 0.995 0.767
Fe 0.500 0.500 0.000
Pb 0.171 0.171 0.627
Pb 0.829 0.829 0.373
```

***

Material: Pm6Fe2Pb
Method: DFT, PBE-GGA
State: optimized geometry Values from VASP.

Properties
**Space group**: Immm
**Total energy**: -100.157 eV/cell
**Calculated formation energy**: -0.105 eV/atom

Structure (Quantum ESPRESSO input):
```
&SYSTEM
  ibrav = 0, nat = 18, ntyp = 3
/
ATOMIC_SPECIES
Pm 145.00 Pm.upf
Fe 55.84 Fe.upf
Pb 207.20 Pb.upf
CELL_PARAMETERS angstrom
-4.885 5.047 5.147
4.885 -5.047 5.147
4.885 5.047 -5.147
ATOMIC_POSITIONS crystal
Pm 0.009 0.226 0.783
Pm 0.188 0.289 0.477
Pm 0.188 0.711 0.899
Pm 0.311 0.012 0.701
Pm 0.311 0.610 0.299
Pm 0.443 0.226 0.217
Pm 0.557 0.774 0.783
Pm 0.689 0.390 0.701
Pm 0.689 0.988 0.299
Pm 0.812 0.289 0.101
Pm 0.812 0.711 0.523
Pm 0.991 0.774 0.217
Fe 0.105 0.605 0.500
Fe 0.392 0.000 0.392
Fe 0.608 0.000 0.608
Fe 0.895 0.395 0.500
Pb 0.000 0.000 0.000
Pb 0.500 0.500 0.000
```

***

Material: Pm2FePb
Method: DFT, PBE-GGA
State: optimized geometry Values from VASP.

Properties
**Space group**: P4/mmm
**Total energy**: -22.126 eV/cell
**Calculated formation energy**: -0.114 eV/atom

Structure (Quantum ESPRESSO input):
```
&SYSTEM
  ibrav = 0, nat = 4, ntyp = 3
/
ATOMIC_SPECIES
Pm 145.00 Pm.upf
Fe 55.84 Fe.upf
Pb 207.20 Pb.upf
CELL_PARAMETERS angstrom
3.548 0.000 0.000
0.000 3.548 0.000
0.000 0.000 8.188
ATOMIC_POSITIONS crystal
Pm 0.000 0.000 0.207
Pm 0.000 0.000 0.793
Fe 0.500 0.500 0.000
Pb 0.500 0.500 0.500
```

***

Material: Pm6FePb2
Method: DFT, PBE-GGA
State: optimized geometry Values from VASP.

Properties
**Space group**: P-62m
**Total energy**: -46.732 eV/cell
**Calculated formation energy**: -0.261 eV/atom

Structure (Quantum ESPRESSO input):
```
&SYSTEM
  ibrav = 0, nat = 9, ntyp = 3
/
ATOMIC_SPECIES
Pm 145.00 Pm.upf
Fe 55.84 Fe.upf
Pb 207.20 Pb.upf
CELL_PARAMETERS angstrom
8.411 0.000 0.000
-4.205 7.284 0.000
0.000 0.000 4.403
ATOMIC_POSITIONS crystal
Pm 0.000 0.234 0.000
Pm 0.000 0.593 0.500
Pm 0.234 0.000 0.000
Pm 0.407 0.407 0.500
Pm 0.593 0.000 0.500
Pm 0.766 0.766 0.000
Fe 0.000 0.000 0.500
Pb 0.333 0.667 0.000
Pb 0.667 0.333 0.000
```

***

Material: Pm4FePb2
Method: DFT, PBE-GGA
State: optimized geometry Values from VASP.

Properties
**Space group**: I4/mmm
**Total energy**: -36.491 eV/cell
**Calculated formation energy**: -0.230 eV/atom

Structure (Quantum ESPRESSO input):
```
&SYSTEM
  ibrav = 0, nat = 7, ntyp = 3
/
ATOMIC_SPECIES
Pm 145.00 Pm.upf
Fe 55.84 Fe.upf
Pb 207.20 Pb.upf
CELL_PARAMETERS angstrom
-2.477 2.477 8.606
2.477 -2.477 8.606
2.477 2.477 -8.606
ATOMIC_POSITIONS crystal
Pm 0.000 0.500 0.500
Pm 0.172 0.172 0.000
Pm 0.500 0.000 0.500
Pm 0.828 0.828 0.000
Fe 0.000 0.000 0.000
Pb 0.359 0.359 0.000
Pb 0.641 0.641 0.000
```

***

Material: Fe2PtPb
Method: DFT, PBE-GGA
State: optimized geometry Values from VASP.

Properties
**Space group**: C2/m
**Total energy**: -25.595 eV/cell
**Calculated formation energy**: 0.270 eV/atom

Structure (Quantum ESPRESSO input):
```
&SYSTEM
  ibrav = 0, nat = 4, ntyp = 3
/
ATOMIC_SPECIES
Fe 55.84 Fe.upf
Pt 195.08 Pt.upf
Pb 207.20 Pb.upf
CELL_PARAMETERS angstrom
4.539 -1.502 0.000
4.539 1.502 0.000
-1.262 0.000 5.102
ATOMIC_POSITIONS crystal
Fe 0.244 0.244 0.177
Fe 0.756 0.756 0.823
Pt 0.500 0.500 0.000
Pb 0.000 0.000 0.500
```

***

Material: Fe3PtPb
Method: DFT, PBE-GGA
State: optimized geometry Values from VASP.

Properties
**Space group**: Pm-3m
**Total energy**: -30.859 eV/cell
**Calculated formation energy**: 0.856 eV/atom

Structure (Quantum ESPRESSO input):
```
&SYSTEM
  ibrav = 0, nat = 5, ntyp = 3
/
ATOMIC_SPECIES
Fe 55.84 Fe.upf
Pt 195.08 Pt.upf
Pb 207.20 Pb.upf
CELL_PARAMETERS angstrom
4.741 0.000 0.000
0.000 4.741 0.000
0.000 0.000 4.741
ATOMIC_POSITIONS crystal
Fe 0.000 0.000 0.500
Fe 0.000 0.500 0.000
Fe 0.500 0.000 0.000
Pt 0.000 0.000 0.000
Pb 0.500 0.500 0.500
```

***

Material: Fe2PtPb
Method: DFT, PBE-GGA
State: optimized geometry Values from VASP.

Properties
**Space group**: Pmm2
**Total energy**: -25.652 eV/cell
**Calculated formation energy**: 0.256 eV/atom

Structure (Quantum ESPRESSO input):
```
&SYSTEM
  ibrav = 0, nat = 4, ntyp = 3
/
ATOMIC_SPECIES
Fe 55.84 Fe.upf
Pt 195.08 Pt.upf
Pb 207.20 Pb.upf
CELL_PARAMETERS angstrom
3.087 0.000 0.000
0.000 4.296 0.000
0.000 0.000 4.988
ATOMIC_POSITIONS crystal
Fe 0.000 0.000 0.000
Fe 0.000 0.500 0.274
Pt 0.500 0.000 0.429
Pb 0.500 0.500 0.793
```

***

Material: FePtPb
Method: DFT, PBE-GGA
State: optimized geometry Values from VASP.

Properties
**Space group**: F-43m
**Total energy**: -17.779 eV/cell
**Calculated formation energy**: 0.144 eV/atom

Structure (Quantum ESPRESSO input):
```
&SYSTEM
  ibrav = 0, nat = 3, ntyp = 3
/
ATOMIC_SPECIES
Fe 55.84 Fe.upf
Pt 195.08 Pt.upf
Pb 207.20 Pb.upf
CELL_PARAMETERS angstrom
0.000 3.149 3.149
3.149 0.000 3.149
3.149 3.149 0.000
ATOMIC_POSITIONS crystal
Fe 0.000 0.000 0.000
Pt 0.250 0.250 0.250
Pb 0.500 0.500 0.500
```

***

Material: FePtPb2
Method: DFT, PBE-GGA
State: optimized geometry Values from VASP.

Properties
**Space group**: I-4m2
**Total energy**: -20.409 eV/cell
**Calculated formation energy**: 0.378 eV/atom

Structure (Quantum ESPRESSO input):
```
&SYSTEM
  ibrav = 0, nat = 4, ntyp = 3
/
ATOMIC_SPECIES
Fe 55.84 Fe.upf
Pt 195.08 Pt.upf
Pb 207.20 Pb.upf
CELL_PARAMETERS angstrom
-2.047 2.047 4.997
2.047 -2.047 4.997
2.047 2.047 -4.997
ATOMIC_POSITIONS crystal
Fe 0.000 0.000 0.000
Pt 0.750 0.250 0.500
Pb 0.250 0.750 0.500
Pb 0.500 0.500 0.000
```

***

Material: Fe2PtPb
Method: DFT, PBE-GGA
State: optimized geometry Values from VASP.

Properties
**Space group**: Cmmm
**Total energy**: -25.347 eV/cell
**Calculated formation energy**: 0.332 eV/atom

Structure (Quantum ESPRESSO input):
```
&SYSTEM
  ibrav = 0, nat = 4, ntyp = 3
/
ATOMIC_SPECIES
Fe 55.84 Fe.upf
Pt 195.08 Pt.upf
Pb 207.20 Pb.upf
CELL_PARAMETERS angstrom
2.799 -3.766 0.000
2.799 3.766 0.000
0.000 0.000 3.082
ATOMIC_POSITIONS crystal
Fe 0.000 0.500 0.000
Fe 0.500 0.000 0.000
Pt 0.000 0.000 0.500
Pb 0.500 0.500 0.500
```

***

Material: FePtPb2
Method: DFT, PBE-GGA
State: optimized geometry Values from VASP.

Properties
**Space group**: Cmmm
**Total energy**: -20.618 eV/cell
**Calculated formation energy**: 0.325 eV/atom

Structure (Quantum ESPRESSO input):
```
&SYSTEM
  ibrav = 0, nat = 4, ntyp = 3
/
ATOMIC_SPECIES
Fe 55.84 Fe.upf
Pt 195.08 Pt.upf
Pb 207.20 Pb.upf
CELL_PARAMETERS angstrom
3.406 -3.413 0.000
3.406 3.413 0.000
0.000 0.000 3.548
ATOMIC_POSITIONS crystal
Fe 0.000 0.000 0.000
Pt 0.500 0.500 0.000
Pb 0.000 0.500 0.500
Pb 0.500 0.000 0.500
```

***

Material: Fe2PtPb
Method: DFT, PBE-GGA
State: optimized geometry Values from VASP.

Properties
**Space group**: F-43m
**Total energy**: -25.599 eV/cell
**Calculated formation energy**: 0.269 eV/atom

Structure (Quantum ESPRESSO input):
```
&SYSTEM
  ibrav = 0, nat = 4, ntyp = 3
/
ATOMIC_SPECIES
Fe 55.84 Fe.upf
Pt 195.08 Pt.upf
Pb 207.20 Pb.upf
CELL_PARAMETERS angstrom
0.000 3.185 3.185
3.185 0.000 3.185
3.185 3.185 0.000
ATOMIC_POSITIONS crystal
Fe 0.000 0.000 0.000
Fe 0.250 0.250 0.250
Pt 0.750 0.750 0.750
Pb 0.500 0.500 0.500
```

***

Material: FePtPb2
Method: DFT, PBE-GGA
State: optimized geometry Values from VASP.

Properties
**Space group**: F-43m
**Total energy**: -19.922 eV/cell
**Calculated formation energy**: 0.500 eV/atom

Structure (Quantum ESPRESSO input):
```
&SYSTEM
  ibrav = 0, nat = 4, ntyp = 3
/
ATOMIC_SPECIES
Fe 55.84 Fe.upf
Pt 195.08 Pt.upf
Pb 207.20 Pb.upf
CELL_PARAMETERS angstrom
0.000 3.499 3.499
3.499 0.000 3.499
3.499 3.499 0.000
ATOMIC_POSITIONS crystal
Fe 0.000 0.000 0.000
Pt 0.250 0.250 0.250
Pb 0.500 0.500 0.500
Pb 0.750 0.750 0.750
```

***

Material: Fe2PtPb
Method: DFT, PBE-GGA
State: optimized geometry Values from VASP.

Properties
**Space group**: I-42d
**Total energy**: -49.512 eV/cell
**Calculated formation energy**: 0.480 eV/atom

Structure (Quantum ESPRESSO input):
```
&SYSTEM
  ibrav = 0, nat = 8, ntyp = 3
/
ATOMIC_SPECIES
Fe 55.84 Fe.upf
Pt 195.08 Pt.upf
Pb 207.20 Pb.upf
CELL_PARAMETERS angstrom
-1.999 1.999 9.245
1.999 -1.999 9.245
1.999 1.999 -9.245
ATOMIC_POSITIONS crystal
Fe 0.059 0.625 0.934
Fe 0.375 0.309 0.434
Fe 0.691 0.125 0.066
Fe 0.875 0.941 0.566
Pt 0.000 0.000 0.000
Pt 0.750 0.250 0.500
Pb 0.250 0.750 0.500
Pb 0.500 0.500 0.000
```